(1)
Entry from Alexandria: a relaxed Tb4TmSe5 crystal (PBE-GGA). Values from VASP.

The structure in Quantum ESPRESSO input format:
```
&SYSTEM
  ibrav = 0, nat = 10, ntyp = 3
/
ATOMIC_SPECIES
Tm 168.93 Tm.upf
Tb 158.93 Tb.upf
Se 78.96 Se.upf
CELL_PARAMETERS angstrom
-3.7790 -1.0334 -4.2501
-4.3966 -5.3756 1.2856
-6.0719 3.5565 0.6033
ATOMIC_POSITIONS crystal
Tm 0.0007 0.0000 0.0000
Tb 0.8054 0.7922 0.5994
Tb 0.1969 0.2078 0.4006
Tb 0.5976 0.5994 0.2078
Tb 0.4047 0.4006 0.7922
Se 0.7074 0.1925 0.3948
Se 0.1022 0.6052 0.1925
Se 0.8999 0.3948 0.8075
Se 0.2947 0.8075 0.6052
Se 0.5007 0.0000 0.0000
```

Summary:
Formation energy from raw total energies   -1.749 eV per atom

(2)
Entry from Alexandria: a relaxed Sm3Te2I2 crystal (PBE-GGA). Values from VASP.

The structure in Quantum ESPRESSO input format:
```
&SYSTEM
  ibrav = 0, nat = 7, ntyp = 3
/
ATOMIC_SPECIES
I 126.90 I.upf
Sm 150.36 Sm.upf
Te 127.60 Te.upf
CELL_PARAMETERS angstrom
4.2895 -0.0096 -0.0012
-2.1460 7.4366 -0.4364
-0.0050 -1.5458 7.6153
ATOMIC_POSITIONS crystal
I 0.6240 0.2483 0.8488
I 0.3760 0.7517 0.1512
Sm 0.2685 0.5356 0.7341
Sm 0.7315 0.4644 0.2659
Sm 0.0000 0.0000 0.0000
Te 0.8874 0.7726 0.6115
Te 0.1126 0.2274 0.3885
```

Summary:
Formation energy from raw total energies   -1.163 eV per atom

(3)
Entry from Alexandria: a relaxed CuAg3P crystal (PBE-GGA). Values from VASP.

The structure in Quantum ESPRESSO input format:
```
&SYSTEM
  ibrav = 0, nat = 5, ntyp = 3
/
ATOMIC_SPECIES
Ag 107.87 Ag.upf
Cu 63.55 Cu.upf
P 30.97 P.upf
CELL_PARAMETERS angstrom
-0.4923 4.1705 -2.1695
-3.1374 1.3330 3.2744
3.5009 1.7811 2.6293
ATOMIC_POSITIONS crystal
Ag 0.0000 0.0000 0.5000
Ag 0.5000 0.0000 0.0000
Ag 0.0000 0.5000 0.0000
Cu 0.5000 0.5000 0.5000
P 0.0000 0.0000 0.0000
```

Summary:
ΔH_f (0 K)   504 meV/atom
Energy above the most stable polymorph in this dataset   0.0 meV per atom

(4)
Entry from Alexandria: a relaxed Y4In2Te5 crystal (PBE-GGA). Values from VASP.

The structure in Quantum ESPRESSO input format:
```
&SYSTEM
  ibrav = 0, nat = 11, ntyp = 3
/
ATOMIC_SPECIES
Y 88.91 Y.upf
Te 127.60 Te.upf
In 114.82 In.upf
CELL_PARAMETERS angstrom
4.2041 0.0000 0.0000
0.0000 8.0764 -0.1448
-2.1020 -2.5528 10.7653
ATOMIC_POSITIONS crystal
Y 0.7159 0.7329 0.4319
Y 0.9638 0.2279 0.9276
Y 0.0362 0.7721 0.0724
Y 0.2841 0.2671 0.5681
Te 0.8300 0.5601 0.6599
Te 0.8296 0.0484 0.6592
Te 0.5000 0.0000 0.0000
Te 0.1700 0.4399 0.3401
Te 0.1704 0.9516 0.3408
In 0.4320 0.5159 0.8640
In 0.5680 0.4841 0.1360
```

Summary:
Formation energy from raw total energies   -0.933 eV per atom

(5)
Entry from Alexandria: a relaxed SmZn9Ni2 crystal (PBE-GGA). Values from VASP.

The structure in Quantum ESPRESSO input format:
```
&SYSTEM
  ibrav = 0, nat = 24, ntyp = 3
/
ATOMIC_SPECIES
Zn 65.41 Zn.upf
Ni 58.69 Ni.upf
Sm 150.36 Sm.upf
CELL_PARAMETERS angstrom
6.1290 0.0000 2.8217
3.0645 7.3639 1.4108
-0.0150 0.0000 8.0999
ATOMIC_POSITIONS crystal
Zn 0.7500 0.5000 0.5000
Zn 0.6077 0.0813 0.3248
Zn 0.1423 0.1752 0.4187
Zn 0.7363 0.5813 0.8248
Zn 0.4390 0.8248 0.4187
Zn 0.6077 0.3248 0.0813
Zn 0.6824 0.5813 0.1752
Zn 0.0676 0.9187 0.3248
Zn 0.0137 0.9187 0.6752
Zn 0.0137 0.6752 0.9187
Zn 0.4390 0.4187 0.8248
Zn 0.0676 0.3248 0.9187
Zn 0.0000 0.0000 0.0000
Zn 0.3110 0.0813 0.6752
Zn 0.1423 0.4187 0.1752
Zn 0.3110 0.6752 0.0813
Zn 0.6824 0.1752 0.5813
Zn 0.7363 0.8248 0.5813
Ni 0.8750 0.2500 0.2500
Ni 0.8750 0.2500 0.7500
Ni 0.8750 0.7500 0.2500
Ni 0.3750 0.7500 0.7500
Sm 0.5000 0.0000 0.0000
Sm 0.2500 0.5000 0.5000
```

Summary:
ΔH_f (0 K)   -271 meV/atom
Energy above the most stable polymorph in this dataset   0.0 meV per atom